[1]
DFT (GGA-PBE) results for crystalline CrFe2Pt at its relaxed geometry.

Computed properties:
The calculation puts the energy of formation from the pure elements at -0.0302 eV/atom.

CIF file:
```
data_CrFe2Pt
_chemical_formula_sum 'Cr1 Fe2 Pt1'
_space_group_name_H-M_alt 'P 4 m m'
_space_group_IT_number 99
_cell_length_a 2.734
_cell_length_b 2.734
_cell_length_c 6.791
_cell_angle_alpha 90.00
_cell_angle_beta 90.00
_cell_angle_gamma 90.00
loop_
_space_group_symop_operation_xyz
'x,y,z'
'-y,x,z'
'-x,-y,z'
'y,-x,z'
'-x,y,z'
'y,x,z'
'x,-y,z'
'-y,-x,z'
loop_
_atom_site_label
_atom_site_fract_x
_atom_site_fract_y
_atom_site_fract_z
Cr1 0.000 0.000 0.000
Fe1 0.000 0.000 0.443
Fe2 0.500 0.500 0.213
Pt1 0.500 0.500 0.721
```


[2]
DFT (GGA-PBE) results for crystalline CrFe2Pt at its relaxed geometry.

Computed properties:
The calculation puts the energy of formation from the pure elements at -0.0161 eV/atom.

CIF file:
```
data_CrFe2Pt
_chemical_formula_sum 'Cr2 Fe4 Pt2'
_space_group_name_H-M_alt 'C 1 2/m 1'
_space_group_IT_number 12
_cell_length_a 8.712
_cell_length_b 2.656
_cell_length_c 4.549
_cell_angle_alpha 90.00
_cell_angle_beta 100.23
_cell_angle_gamma 90.00
loop_
_space_group_symop_operation_xyz
'x,y,z'
'-x,-y,-z'
'-x,y,-z'
'x,-y,z'
'x+1/2,y+1/2,z'
'-x+1/2,-y+1/2,-z'
'-x+1/2,y+1/2,-z'
'x+1/2,-y+1/2,z'
loop_
_atom_site_label
_atom_site_fract_x
_atom_site_fract_y
_atom_site_fract_z
Cr1 0.000 0.000 0.000
Fe1 0.249 0.500 0.239
Pt1 0.000 0.500 0.500
```


[3]
DFT (GGA-PBE) results for crystalline CrFePtRh2 at its relaxed geometry.

Computed properties:
The calculation puts the energy of formation from the pure elements at 1.0316 eV/atom.

CIF file:
```
data_CrFePtRh2
_chemical_formula_sum 'Cr1 Fe1 Pt1 Rh2'
_space_group_name_H-M_alt 'P 4/m m m'
_space_group_IT_number 123
_space_group_name_Hall '-P 4 2'
_cell_length_a 4.399
_cell_length_b 4.399
_cell_length_c 4.600
_cell_angle_alpha 90.00
_cell_angle_beta 90.00
_cell_angle_gamma 90.00
loop_
_atom_site_label
_atom_site_fract_x
_atom_site_fract_y
_atom_site_fract_z
Cr1 0.000 0.000 0.000
Fe1 0.500 0.500 0.500
Pt1 0.000 0.000 0.500
Rh1 0.000 0.500 0.000
```